Record 1
VASP calculation (PBE) on LaHoCdIn after structural relaxation.

a = 5.4481 Å, b = 5.4481 Å, c = 5.4481 Å
α = 60.00°, β = 60.00°, γ = 60.00°
Closest atoms and distances in Å follow each position.
Positions (direct):
La  0.7500  0.7500  0.7500  4 Cd 3.34, 4 In 3.34
Cd  0.5000  0.5000  0.5000  4 La 3.34, 4 Ho 3.34
In  0.0000  0.0000  0.0000  4 La 3.34, 4 Ho 3.34
Ho  0.2500  0.2500  0.2500  4 Cd 3.34, 4 In 3.34

Computed properties:
The spin magnetization comes out at 0.000 μB per atom. The density of states at the Fermi level comes out at 1.127 states/eV/atom. Its symmetry is F-43m, No. 216. The formation energy from the elements comes out at -0.406 eV/atom.

Record 2
VASP calculation (PBE) on AuSeBr3 after structural relaxation.

a = 6.6245 Å, b = 7.7149 Å, c = 17.5468 Å
α = 108.57°, β = 90.00°, γ = 90.00°
Closest atoms and distances in Å follow each position.
Positions (direct):
Br  0.7847  0.6424  0.8164  1 Au 2.50
Se  0.4660  0.7764  0.9885  1 Br 2.40, 2 Au 2.48-2.49
Br  0.6650  0.7934  0.5915  1 Se 2.40
Br  0.3199  0.3693  0.6621  1 Au 2.47
Au  0.3449  0.0605  0.0909  2 Br 2.47-2.50, 2 Se 2.48-2.49
Br  0.1801  0.8693  0.1621  1 Au 2.47
Se  0.0340  0.2764  0.4885  1 Br 2.40, 2 Au 2.48-2.49
Br  0.2153  0.3576  0.1836  1 Au 2.50
Br  0.3350  0.2066  0.4085  1 Se 2.40
Br  0.7153  0.1424  0.3164  1 Au 2.50
Br  0.6801  0.6307  0.3379  1 Au 2.47
Br  0.2847  0.8576  0.6836  1 Au 2.50
Br  0.1650  0.7066  0.9085  1 Se 2.40
Br  0.8350  0.2934  0.0915  1 Se 2.40
Se  0.5340  0.2236  0.0115  1 Br 2.40, 2 Au 2.48-2.49
Au  0.8449  0.4395  0.4091  2 Br 2.47-2.50, 2 Se 2.48-2.49
Au  0.6551  0.9395  0.9091  2 Br 2.47-2.50, 2 Se 2.48-2.49
Au  0.1551  0.5605  0.5909  2 Br 2.47-2.50, 2 Se 2.48-2.49
Br  0.8199  0.1307  0.8379  1 Au 2.47
Se  0.9660  0.7236  0.5115  1 Br 2.40, 2 Au 2.48-2.49

Computed properties:
The spin magnetization comes out at 0.000 μB per atom. As for the formation energy (no corrections): -0.136 eV per atom. Its symmetry is P2_1/c, No. 14. For the energy above the most stable polymorph in this dataset, the calculation gives 0 meV per atom.

Record 3
VASP calculation (PBE) on K2FeBiAu after structural relaxation.

a = 6.1421 Å, b = 4.9327 Å, c = 6.1421 Å
α = 90.00°, β = 90.00°, γ = 90.00°
Closest atoms and distances in Å follow each position.
Positions (direct):
Au  0.0000  0.0000  0.0000  2 Fe 2.47
K  0.5000  0.0000  0.0000  2 Au 3.07
K  0.0000  0.0000  0.5000  2 Au 3.07
Fe  0.0000  0.5000  0.0000  2 Au 2.47
Bi  0.5000  0.5000  0.5000  8 K 3.94, 4 Fe 4.34

Computed properties:
The spin magnetization comes out at 0.723 μB per atom. The density of states at the Fermi level comes out at 1.299 states/eV/atom. Its symmetry is P4/mmm, No. 123. The formation energy from the elements comes out at 0.467 eV/atom.

Record 4
VASP calculation (PBE) on NaEuBiPb after structural relaxation.

a = 5.5968 Å, b = 5.5968 Å, c = 5.5968 Å
α = 60.00°, β = 60.00°, γ = 60.00°
Closest atoms and distances in Å follow each position.
Positions (direct):
Na  0.2500  0.2500  0.2500  4 Pb 3.43, 4 Bi 3.43
Eu  0.7500  0.7500  0.7500  4 Bi 3.43, 4 Pb 3.43
Pb  0.0000  0.0000  0.0000  4 Eu 3.43, 4 Na 3.43
Bi  0.5000  0.5000  0.5000  4 Na 3.43, 4 Eu 3.43

Computed properties:
The spin magnetization comes out at 1.743 μB per atom. The density of states at the Fermi level comes out at 0.798 states/eV/atom. Its symmetry is F-43m, No. 216. The formation energy from the elements comes out at -0.407 eV/atom.

Record 5
VASP calculation (PBE) on AcEuTmAl after structural relaxation.

a = 5.5966 Å, b = 5.5966 Å, c = 5.5966 Å
α = 60.00°, β = 60.00°, γ = 60.00°
Closest atoms and distances in Å follow each position.
Positions (direct):
Ac  0.2500  0.2500  0.2500  4 Tm 3.43, 4 Eu 3.43
Eu  0.0000  0.0000  0.0000  4 Ac 3.43, 4 Al 3.43
Tm  0.5000  0.5000  0.5000  4 Al 3.43, 4 Ac 3.43
Al  0.7500  0.7500  0.7500  4 Tm 3.43, 4 Eu 3.43

Computed properties:
The spin magnetization comes out at 1.951 μB per atom. The density of states at the Fermi level comes out at 1.470 states/eV/atom. Its symmetry is F-43m, No. 216. The formation energy from the elements comes out at 0.115 eV/atom.

Record 6
VASP calculation (PBE) on NaNiPPd after structural relaxation.

a = 3.7682 Å, b = 3.7682 Å, c = 10.2226 Å
α = 90.00°, β = 90.00°, γ = 90.00°
Closest atoms and distances in Å follow each position.
Positions (direct):
Ni  0.7500  0.2500  0.0000  4 P 2.22
Na  0.2500  0.2500  0.7326  4 Pd 3.03, 4 P 3.08, 4 Ni 3.32
Ni  0.2500  0.7500  0.0000  4 P 2.22
Pd  0.7500  0.2500  0.5000  4 Pd 2.66
Pd  0.2500  0.7500  0.5000  4 Pd 2.66
P  0.7500  0.7500  0.8846  4 Ni 2.22
P  0.2500  0.2500  0.1154  4 Ni 2.22
Na  0.7500  0.7500  0.2674  4 Pd 3.03, 4 P 3.08, 4 Ni 3.32

Computed properties:
The spin magnetization comes out at 0.000 μB per atom. The density of states at the Fermi level comes out at 0.498 states/eV/atom. Its symmetry is P4/nmm, No. 129. The formation energy from the elements comes out at -0.212 eV/atom.

Question: Which of these has the highest spin magnetization?
Answer: AcEuTmAl